This record from Alexandria via LeMat-Bulk describes a relaxed structure of Li2HgGeF8. The functional is PBE-GGA.

The uncorrected formation energy comes out at -2.3717 eV/atom. For the magnetic moment, the calculation gives 0.00 μB per formula unit. The crystal system is monoclinic.

The space group is C2/m (No. 12) and the conventional cell measures 6.7017, 6.5479 and 6.9534 Å, with angles of 90.00, 93.55 and 90.00 degrees. The inequivalent atoms are Li at (0.0218, 0.0000, 0.2468), Hg at (0.0000, 0.5000, 0.0000), Ge at (0.0000, 0.5000, 0.5000), F at (0.0037, 0.3016, 0.6901), F at (0.1856, 0.0000, 0.9992) and F at (0.2300, 0.0000, 0.4870).


This record from Alexandria via LeMat-Bulk describes a relaxed structure of HgGeOF2. The functional is PBE-GGA.

The uncorrected formation energy comes out at -0.5115 eV/atom. For the magnetic moment, the calculation gives 0.00 μB per formula unit. The crystal system is tetragonal. The calculation puts the energy above the most stable polymorph in this dataset at 0.674 eV/atom.

The space group is P4/mmm (No. 123) and the conventional cell measures 4.5294, 4.5294 and 4.2611 Å, with angles of 90.00, 90.00 and 90.00 degrees. The inequivalent atoms are Hg at (0.0000, 0.0000, 0.0000), Ge at (0.5000, 0.5000, 0.5000), O at (0.0000, 0.0000, 0.5000) and F at (0.0000, 0.5000, 0.0000).


- Which of these has the lowest uncorrected formation energy?
  Li2HgGeF8